The following is a PBE+U calculation of a geometry-optimized MnSnPO2 structure, from Alexandria.

abc: 3.8293 3.8293 4.9811
angles: 90.00 90.00 90.00
Fractional positions:
Mn 0.0000 0.0000 0.0000
Sn 0.5000 0.5000 0.5000
P 0.0000 0.0000 0.5000
O 0.0000 0.5000 0.0000
O 0.5000 0.0000 0.0000

Computed properties:
Polymorph energy (0 for the lowest one) ... 0.0 meV/atom
Total energy ... -5.871 eV/atom
V ... 14.61 A^3/atom
DOS at the Fermi energy ... 2.1 states/eV/cell